Nd2Ga4CuIr3: optimized geometry, PBE.

Geometry as POSCAR:
```
Nd2Ga4CuIr3
1.0
-2.584 -0.090 3.356
-2.011 -3.350 -1.638
6.656 -6.416 4.953
Nd Ga Cu Ir
2 4 1 3
Cartesian
0.387 -1.663 2.927
3.972 -6.473 2.885
-2.297 -1.720 0.859
0.000 0.000 0.000
2.876 -4.062 4.779
1.483 -4.074 1.033
1.031 -4.928 3.336
3.328 -3.208 2.476
4.468 -5.597 5.964
-0.109 -2.539 -0.152
```

Calculated values
magnetization = 0.0 μB/f.u.
formation energy from the elements = -595 kJ/mol of formula units
energy = -5.849 eV/atom